Model a:
Entry from Alexandria via LeMat-Bulk: a relaxed structure of Pm2HoAl2 (PBE-GGA).

Size of the total moment ... 0.0 μB per cell
V ... 26.861 Å³ per atom

The structure in POSCAR format:
```
Pm2HoAl2
1.0
-2.4508 3.3900 4.0413
2.4508 -3.3900 4.0413
2.4508 3.3900 -4.0413
Pm Ho Al
2 1 2
Cartesian
0.0000 0.0000 1.5964
0.0000 0.0000 6.4863
0.0000 3.3900 0.0000
2.4508 1.3437 0.0000
0.0000 2.0463 4.0413
```

---

Model b:
Entry from Alexandria via LeMat-Bulk: a relaxed structure of Pm2HoAl2 (PBE-GGA).

Size of the total moment ... 0.0 μB per cell
V ... 28.767 Å³ per atom

The structure in POSCAR format:
```
Pm2HoAl2
1.0
6.2602 0.0000 0.0000
0.0000 3.6423 0.0000
-1.4627 0.0000 12.6162
Pm Ho Al
4 2 4
Cartesian
-0.1031 0.9106 4.5061
0.0591 2.7317 11.6973
4.7385 0.9106 0.9188
4.9006 2.7317 8.1101
1.8683 0.9106 8.9589
2.9292 2.7317 3.6573
1.6049 0.9106 1.6105
1.4047 2.7317 6.5085
3.3929 0.9106 6.1076
3.1926 2.7317 11.0057
```

---

The structure with the least stability is model b.

---

Model a:
Entry from Alexandria via LeMat-Bulk: a relaxed structure of PmHo3Al2 (PBE-GGA).

Size of the total moment ... 0.0 μB per cell
V ... 26.929 Å³ per atom

The structure in POSCAR format:
```
PmHo3Al2
1.0
7.9303 -2.6032 0.0000
7.9303 2.6032 0.0000
-4.3774 0.0000 7.8268
Pm Ho Al
2 6 4
Cartesian
1.2874 0.0000 1.4189
10.1957 0.0000 6.4078
-2.1577 0.0000 5.6012
4.9243 0.0000 0.0631
4.0202 0.0000 3.6643
7.4629 0.0000 4.1625
6.5589 0.0000 7.7637
13.6408 0.0000 2.2256
1.0453 0.0000 4.6995
3.8990 0.0000 6.5902
7.5841 0.0000 1.2366
10.4379 0.0000 3.1273
```

---

Model b:
Entry from Alexandria via LeMat-Bulk: a relaxed structure of PmHo3Al2 (PBE-GGA).

Size of the total moment ... 0.0 μB per cell
V ... 26.378 Å³ per atom

The structure in POSCAR format:
```
PmHo3Al2
1.0
3.5441 0.0000 0.0000
0.0000 3.5441 0.0000
0.0000 0.0000 12.6002
Pm Ho Al
1 3 2
Cartesian
0.0000 0.0000 0.0000
1.7721 1.7721 2.5981
1.7721 1.7721 6.3001
1.7721 1.7721 10.0020
0.0000 0.0000 4.4373
0.0000 0.0000 8.1629
```

---

The structure with the least stability is model a.